DFT (GGA-PBE) results for crystalline SrMoIrC2 at its relaxed geometry.

Structure (CIF):
```
data_SrMoIrC2
_cell_length_a 4.200
_cell_length_b 5.374
_cell_length_c 4.200
_cell_angle_alpha 90.00
_cell_angle_beta 90.00
_cell_angle_gamma 90.00
_symmetry_space_group_name_H-M 'P 1'
_symmetry_Int_Tables_number 1
loop_
_symmetry_equiv_pos_as_xyz
'x,y,z'
loop_
_atom_site_label
_atom_site_type_symbol
_atom_site_fract_x
_atom_site_fract_y
_atom_site_fract_z
Sr1 Sr 0.000 0.000 0.000
Mo1 Mo 0.500 0.500 0.500
Ir1 Ir 0.000 0.500 0.000
C1 C 0.000 0.000 0.500
C2 C 0.500 0.000 0.000
```

## Properties
total energy = -4.342 eV per atom
DOS at the Fermi energy = 1.647 states/eV/atom
symmetry = P4/mmm
formation energy from the elements = 3.622 eV per atom